(1)
A plane-wave DFT calculation with PBE was carried out for a relaxed Y4Tl3Os crystal.

```
8
Lattice="3.568 0.000 0.000 0.000 3.568 0.000 0.000 0.000 15.988" Properties=species:S:1:pos:R:3 pbc="T T T"
Y 0.000 0.000 1.622
Y 0.000 0.000 5.877
Y 0.000 0.000 10.110
Y 0.000 0.000 14.366
Tl 1.784 1.784 3.813
Tl 1.784 1.784 7.994
Tl 1.784 1.784 12.175
Os 1.784 1.784 0.000
```

Output
* DOS at the Fermi energy: 4.32 states/eV per cell
* energy of formation from the pure elements: -0.3335 eV/atom
* DFT total energy: -5.86 eV per atom

***

(2)
A plane-wave DFT calculation with PBE was carried out for a relaxed RbMnNi crystal.

```
3
Lattice="4.110 0.000 0.000 -2.055 3.560 0.000 0.000 0.000 5.703" Properties=species:S:1:pos:R:3 pbc="T T T"
Rb 0.000 0.000 0.000
Mn 0.000 2.373 2.851
Ni 2.055 1.187 2.851
```

Output
* DOS at the Fermi energy: 1.18 states/eV per cell
* energy of formation from the pure elements: 0.7848 eV/atom
* energy above the most stable polymorph in this dataset: 380.9 meV/atom
* DFT total energy: -4.52 eV per atom

***

(3)
A plane-wave DFT calculation with PBE was carried out for a relaxed HfBi2BN crystal.

```
5
Lattice="5.593 0.000 0.000 0.000 5.593 0.000 0.000 0.000 4.554" Properties=species:S:1:pos:R:3 pbc="T T T"
Hf 0.000 0.000 0.000
Bi 0.000 2.797 0.000
Bi 2.797 0.000 0.000
B 0.000 0.000 2.277
N 2.797 2.797 2.277
```

Output
* DOS at the Fermi energy: 2.47 states/eV per cell
* formation energy from raw total energies: 1.716 eV per atom
* DFT total energy: -4.83 eV per atom

***

Among the records above, which one has the highest DOS at the Fermi energy?
Y4Tl3Os